Entry from Alexandria via LeMat-Bulk: Ba2FeNiS after structural relaxation (GGA-PBE).

a b c (Å): 6.050 6.050 4.119
angles (deg): 90.00 90.00 90.00
Sites, in units of the cell vectors:
Ba 0.000 0.500 0.000
Ba 0.500 0.000 0.000
Fe 0.000 0.000 0.500
Ni 0.500 0.500 0.000
S 0.500 0.500 0.500

Output
The calculation puts the density of states at the Fermi level at 4.53 states/eV/f.u. The space group is No. 123. Its uncorrected formation energy is -0.003 eV per atom. For the spin magnetization, the calculation gives 2.5 μB per formula unit.



Entry from Alexandria via LeMat-Bulk: K4ErNp3O12 after structural relaxation (GGA-PBE).

a b c (Å): 7.422 7.422 7.422
angles (deg): 109.47 109.47 109.47
Sites, in units of the cell vectors:
K 0.000 0.000 0.500
K 0.000 0.500 0.000
K 0.500 0.000 0.000
K 0.500 0.500 0.500
Er 0.000 0.000 0.000
Np 0.000 0.500 0.500
Np 0.500 0.000 0.500
Np 0.500 0.500 0.000
O 0.000 0.264 0.264
O 0.000 0.736 0.736
O 0.250 0.500 0.750
O 0.250 0.750 0.500
O 0.264 0.000 0.264
O 0.264 0.264 0.000
O 0.500 0.250 0.750
O 0.500 0.750 0.250
O 0.736 0.000 0.736
O 0.736 0.736 0.000
O 0.750 0.250 0.500
O 0.750 0.500 0.250

Output
The calculation puts the density of states at the Fermi level at 6.60 states/eV/f.u. The space group is No. 229. Its uncorrected formation energy is -2.741 eV per atom. For the spin magnetization, the calculation gives 4.0 μB per formula unit.



Entry from Alexandria via LeMat-Bulk: PaReSi after structural relaxation (GGA-PBE).

a b c (Å): 9.211 9.007 3.909
angles (deg): 80.55 74.70 24.75
Sites, in units of the cell vectors:
Pa 0.123 0.123 0.877
Pa 0.877 0.877 0.123
Re 0.250 0.250 0.250
Re 0.750 0.750 0.750
Si 0.314 0.686 0.314
Si 0.686 0.314 0.686

Output
The calculation puts the density of states at the Fermi level at 3.33 states/eV/f.u. The space group is No. 69. Its uncorrected formation energy is 0.232 eV per atom. For the spin magnetization, the calculation gives 0.0 μB per formula unit.



Entry from Alexandria via LeMat-Bulk: BC2 after structural relaxation (GGA-PBE).

a b c (Å): 3.134 3.134 2.932
angles (deg): 99.58 99.58 47.10
Sites, in units of the cell vectors:
B 0.000 0.000 0.000
C 0.268 0.268 0.256
C 0.865 0.865 0.473

Output
The calculation puts the density of states at the Fermi level at 0.16 states/eV/f.u. As for the formation energy: 56.1 kJ/mol of atoms. The calculation puts the relative energy among the computed polymorphs at 341.9 meV per atom. The space group is No. 8. For the spin magnetization, the calculation gives 0.0 μB per formula unit.



Entry from Alexandria via LeMat-Bulk: Ce4HSe2 after structural relaxation (GGA-PBE).

a b c (Å): 8.611 8.611 8.611
angles (deg): 150.53 150.53 42.16
Sites, in units of the cell vectors:
Ce 0.000 0.500 0.500
Ce 0.171 0.171 0.000
Ce 0.500 0.000 0.500
Ce 0.829 0.829 0.000
H 0.000 0.000 0.000
Se 0.360 0.360 0.000
Se 0.640 0.640 0.000

Output
The calculation puts the density of states at the Fermi level at 17.00 states/eV/f.u. The raw total energy comes out at -5.8365 eV/atom. The space group is No. 139. For the spin magnetization, the calculation gives 3.0 μB per formula unit.



Entry from Alexandria via LeMat-Bulk: Cd2FeGeRu after structural relaxation (GGA-PBE).

a b c (Å): 4.980 4.980 4.287
angles (deg): 90.00 90.00 90.00
Sites, in units of the cell vectors:
Cd 0.000 0.500 0.000
Cd 0.500 0.000 0.000
Fe 0.000 0.000 0.000
Ge 0.500 0.500 0.500
Ru 0.000 0.000 0.500

Output
The calculation puts the density of states at the Fermi level at 5.25 states/eV/f.u. As for the formation energy: 88.6 kJ/mol of atoms. The space group is No. 123. For the spin magnetization, the calculation gives 1.3 μB per formula unit.